Material: CsCo2W
Method: DFT, PBE
State: relaxed

abc: 4.5871 4.5871 4.5871
angles: 60.00 60.00 60.00
Positions (direct):
Cs (0.0000, 0.0000, 0.0000)
Co (0.7500, 0.7500, 0.7500)
Co (0.2500, 0.2500, 0.2500)
W (0.5000, 0.5000, 0.5000)

Computed properties:
Total moment in μB per formula unit: 0.0
DFT formation energy in kJ/mol of formula units: 757.0
D(E_F) in states/eV/atom: 1.060
Crystal system: cubic
Theoretical density in Mg/m³: 10.57
Excess energy over the best structure of this formula in the dataset in kJ/mol of atoms: 41.1